Entry 1:
DFT (PBEsol) results for LaCo8P5 after structural relaxation.

Unit cell a=3.5186 b=10.3057 c=9.1655 alpha=90.00 beta=90.00 gamma=90.00
Last column: nearest neighbours and their distance in Å.
Sites, in units of the cell vectors:
La 0.2500 0.2500 0.1775  9 Co 3.02-3.25, 8 P 3.05-3.11
La 0.7500 0.7500 0.8225  9 Co 3.02-3.25, 8 P 3.05-3.11
Co 0.2500 0.0050 0.8894  4 P 2.15-2.22
Co 0.2500 0.0828 0.4787  4 P 2.13-2.20
Co 0.2500 0.2500 0.8485  5 P 2.15-2.28
Co 0.2500 0.4172 0.4787  4 P 2.13-2.20
Co 0.2500 0.4950 0.8894  4 P 2.15-2.22
Co 0.2500 0.6100 0.3042  3 P 2.18-2.39
Co 0.2500 0.7500 0.5465  4 P 2.26-2.30, 4 Co 2.47
Co 0.2500 0.8900 0.3042  3 P 2.18-2.39
Co 0.7500 0.1100 0.6958  3 P 2.18-2.39
Co 0.7500 0.2500 0.4535  4 P 2.26-2.30, 4 Co 2.47
Co 0.7500 0.3900 0.6958  3 P 2.18-2.39
Co 0.7500 0.5050 0.1106  4 P 2.15-2.22
Co 0.7500 0.5828 0.5213  4 P 2.13-2.20
Co 0.7500 0.7500 0.1515  5 P 2.15-2.28
Co 0.7500 0.9172 0.5213  4 P 2.13-2.20
Co 0.7500 0.9950 0.1106  4 P 2.15-2.22
P 0.2500 0.2500 0.6145  5 Co 2.13-2.30
P 0.2500 0.5561 0.6608  5 Co 2.19-2.26
P 0.2500 0.6301 0.0679  6 Co 2.15-2.28
P 0.2500 0.8699 0.0679  6 Co 2.15-2.28
P 0.2500 0.9439 0.6608  5 Co 2.19-2.26
P 0.7500 0.0561 0.3392  5 Co 2.19-2.26
P 0.7500 0.1301 0.9321  6 Co 2.15-2.28
P 0.7500 0.3699 0.9321  6 Co 2.15-2.28
P 0.7500 0.4439 0.3392  5 Co 2.19-2.26
P 0.7500 0.7500 0.3855  5 Co 2.13-2.30

Computed properties:
For the density of states at the Fermi level, the calculation gives 22.46 states/eV per cell. The calculation puts the total energy at -215.32 eV for the cell shown. As for the density: 7.6 g/cm3. The formation energy is -11.46 eV/f.u.

***

Entry 2:
DFT (PBEsol) results for InAgTe2 after structural relaxation.

Unit cell a=6.4206 b=6.4206 c=12.7531 alpha=90.00 beta=90.00 gamma=90.00
Last column: nearest neighbours and their distance in Å.
Sites, in units of the cell vectors:
In 0.0000 0.0000 0.0000  4 Te 2.81
In 0.0000 0.5000 0.2500  4 Te 2.81
In 0.5000 0.0000 0.7500  4 Te 2.81
In 0.5000 0.5000 0.5000  4 Te 2.81
Ag 0.0000 0.0000 0.5000  4 Te 2.74
Ag 0.0000 0.5000 0.7500  4 Te 2.74
Ag 0.5000 0.0000 0.2500  4 Te 2.74
Ag 0.5000 0.5000 0.0000  4 Te 2.74
Te 0.2409 0.2500 0.6250  2 Ag 2.74, 2 In 2.81
Te 0.2500 0.7409 0.8750  2 Ag 2.74, 2 In 2.81
Te 0.2500 0.7591 0.3750  2 Ag 2.74, 2 In 2.81
Te 0.2591 0.2500 0.1250  2 Ag 2.74, 2 In 2.81
Te 0.7409 0.7500 0.1250  2 Ag 2.74, 2 In 2.81
Te 0.7500 0.2409 0.3750  2 Ag 2.74, 2 In 2.81
Te 0.7500 0.2591 0.8750  2 Ag 2.74, 2 In 2.81
Te 0.7591 0.7500 0.6250  2 Ag 2.74, 2 In 2.81

Computed properties:
The calculation puts the uncorrected formation energy at -0.222 eV/atom. For the density of states at the Fermi level, the calculation gives 0.55 states/eV per cell. The calculation puts the total energy at -56.94 eV for the cell shown. As for the density: 6.0 g/cm3.